Compound: Li2TeCl
Source: Alexandria
Functional: PBEsol
Structure: optimized geometry

Cell: 3.2157 4.3285 6.1256 Å, 90.00 90.00 90.00°
Closest atoms and distances in Å follow each position.
Element x y z (fractional)
Li 0.0000 0.0000 0.0000  4 Cl 2.70
Li 0.0000 0.5000 0.5000  4 Te 2.70
Te 0.5000 0.0000 0.5000  4 Li 2.70
Cl 0.5000 0.5000 0.0000  4 Li 2.70

Properties
**M_tot**: 0.00 Bohr magnetons per cell
**ΔE_f (raw)**: -0.9978 eV/atom
**Relative energy among the computed polymorphs**: 0.229 eV/atom
**Crystal system**: orthorhombic
**E**: -3.365 eV/atom
**Space group**: Pmmm

Compound: KBa
Source: Alexandria
Functional: PBEsol
Structure: optimized geometry

Cell: 4.2900 4.2900 13.9681 Å, 90.00 90.00 90.00°
Closest atoms and distances in Å follow each position.
Element x y z (fractional)
K 0.2500 0.2500 0.1299  8 K 4.29-4.73, 4 Ba 4.65
K 0.7500 0.7500 0.8701  8 K 4.29-4.73, 4 Ba 4.65
Ba 0.2500 0.2500 0.6181  8 Ba 4.29-4.48, 4 K 4.65
Ba 0.7500 0.7500 0.3819  8 Ba 4.29-4.48, 4 K 4.65

Properties
**M_tot**: 0.00 Bohr magnetons per cell
**Crystal system**: tetragonal
**E**: -1.570 eV/atom
**Space group**: P4/nmm

Compound: AlCdCl2
Source: Alexandria
Functional: PBEsol
Structure: optimized geometry

Cell: 3.1613 3.1613 9.0878 Å, 90.00 90.00 90.00°
Closest atoms and distances in Å follow each position.
Element x y z (fractional)
Al 0.0000 0.0000 0.0000  8 Cl 2.73
Cd 0.0000 0.0000 0.5000  4 Cd 3.16
Cl 0.5000 0.5000 0.1721  4 Al 2.73
Cl 0.5000 0.5000 0.8279  4 Al 2.73

Properties
**M_tot**: 0.00 Bohr magnetons per cell
**ΔE_f (raw)**: -0.3132 eV/atom
**Relative energy among the computed polymorphs**: 0.332 eV/atom
**Crystal system**: tetragonal
**E**: -2.639 eV/atom
**Space group**: P4/mmm

Compound: Y2HgPb
Source: Alexandria
Functional: PBEsol
Structure: optimized geometry

Cell: 3.5021 4.1426 7.0251 Å, 90.00 90.00 90.00°
Closest atoms and distances in Å follow each position.
Element x y z (fractional)
Y 0.0000 0.0000 0.2446  4 Hg 3.21, 4 Pb 3.25, 4 Y 3.44-3.59
Y 0.0000 0.0000 0.7554  4 Hg 3.21, 4 Pb 3.25, 4 Y 3.44-3.59
Hg 0.5000 0.5000 0.0000  8 Y 3.21, 2 Hg 3.50, 2 Pb 3.51
Pb 0.5000 0.5000 0.5000  8 Y 3.25, 2 Pb 3.50, 2 Hg 3.51

Properties
**M_tot**: 0.00 Bohr magnetons per cell
**Crystal system**: orthorhombic
**E**: -5.125 eV/atom
**Space group**: Pmmm

Compound: Ba2ScUO6
Source: Alexandria
Functional: PBEsol
Structure: optimized geometry

Cell: 5.9910 5.9910 5.9910 Å, 60.00 60.00 60.00°
Closest atoms and distances in Å follow each position.
Element x y z (fractional)
Ba 0.2500 0.2500 0.2500  12 O 3.00
Ba 0.7500 0.7500 0.7500  12 O 3.00
Sc 0.0000 0.0000 0.0000  6 O 2.10
U 0.5000 0.5000 0.5000  6 O 2.13
O 0.2481 0.2481 0.7519  1 Sc 2.10, 1 U 2.13
O 0.2481 0.7519 0.2481  1 Sc 2.10, 1 U 2.13
O 0.2481 0.7519 0.7519  1 Sc 2.10, 1 U 2.13
O 0.7519 0.2481 0.2481  1 Sc 2.10, 1 U 2.13
O 0.7519 0.2481 0.7519  1 Sc 2.10, 1 U 2.13
O 0.7519 0.7519 0.2481  1 Sc 2.10, 1 U 2.13

Properties
**M_tot**: 1.00 Bohr magnetons per cell
**ΔE_f (raw)**: -3.2668 eV/atom
**Crystal system**: cubic
**E**: -8.723 eV/atom
**Space group**: Fm-3m

Compound: YZnSn
Source: Alexandria
Functional: PBEsol
Structure: optimized geometry

Cell: 4.5528 4.5528 7.2283 Å, 90.00 90.00 120.00°
Closest atoms and distances in Å follow each position.
Element x y z (fractional)
Y 0.0000 0.0000 0.0000  6 Sn 3.19, 6 Zn 3.19
Y 0.0000 0.0000 0.5000  6 Sn 3.19, 6 Zn 3.19
Zn 0.3333 0.6667 0.2500  3 Sn 2.63
Zn 0.6667 0.3333 0.7500  3 Sn 2.63
Sn 0.3333 0.6667 0.7500  3 Zn 2.63
Sn 0.6667 0.3333 0.2500  3 Zn 2.63

Properties
**M_tot**: 0.00 Bohr magnetons per cell
**Crystal system**: hexagonal
**E**: -4.815 eV/atom
**Space group**: P6_3/mmc